# 1
# BeCuTcPb

A geometry-optimized BeCuTcPb structure (PBE, OQMD).

abc: 4.3737 4.3737 4.3737
angles: 60.00 60.00 60.00
Closest atoms and distances in Å follow each position.
Fractional coordinates of all 4 atoms:
Pb1 0.0000 0.0000 0.0000  4 Cu 2.68, 4 Be 2.68
Be1 0.7500 0.7500 0.7500  4 Tc 2.68, 4 Pb 2.68
Cu1 0.2500 0.2500 0.2500  4 Pb 2.68, 4 Tc 2.68
Tc1 0.5000 0.5000 0.5000  4 Be 2.68, 4 Cu 2.68

Output
density = 10.6 g cm⁻³
E above lowest polymorph = 0.0544 eV/atom
final energy = -4.70 eV per atom


# 2
# Cu3AsSe3S

A geometry-optimized Cu3AsSe3S structure (PBE, OQMD).

abc: 5.5409 5.5409 6.7357
angles: 114.05 114.05 90.21
Closest atoms and distances in Å follow each position.
Fractional coordinates of all 8 atoms:
Se1 0.3836 0.3836 0.2616  3 Cu 2.40-2.44, 1 As 2.49
Se2 0.6158 0.1272 0.7427  3 Cu 2.40-2.42, 1 As 2.48
Se3 0.1272 0.6158 0.7427  3 Cu 2.40-2.42, 1 As 2.48
Cu1 0.2336 0.7563 0.4894  1 S 2.27, 3 Se 2.40-2.41
Cu2 0.5159 0.5159 0.0106  1 S 2.29, 3 Se 2.42-2.44
Cu3 0.7563 0.2336 0.4894  1 S 2.27, 3 Se 2.40-2.41
As1 0.9939 0.9939 0.0063  1 S 2.36, 3 Se 2.48-2.49
S1 0.8738 0.8738 0.2572  3 Cu 2.27-2.29, 1 As 2.36

Output
density = 5.3 g cm⁻³
final energy = -3.96 eV per atom


# 3
# SrCoIr2

A geometry-optimized SrCoIr2 structure (PBE, OQMD).

abc: 4.6199 4.6199 4.6199
angles: 60.00 60.00 60.00
Closest atoms and distances in Å follow each position.
Fractional coordinates of all 4 atoms:
Ir1 0.7500 0.7500 0.7500  4 Ir 2.83, 4 Sr 2.83
Ir2 0.0000 0.0000 0.0000  4 Ir 2.83, 4 Co 2.83
Sr1 0.5000 0.5000 0.5000  4 Co 2.83, 4 Ir 2.83
Co1 0.2500 0.2500 0.2500  4 Sr 2.83, 4 Ir 2.83

Output
density = 12.6 g cm⁻³
final energy = -5.97 eV per atom


# 4
# Sn4PdS3

A geometry-optimized Sn4PdS3 structure (PBE, OQMD).

abc: 4.0481 4.0003 11.8476
angles: 90.00 98.98 90.00
Closest atoms and distances in Å follow each position.
Fractional coordinates of all 8 atoms:
S1 0.0597 0.0000 0.6625  3 Sn 2.59-2.81
S2 0.6419 0.5000 0.8502  5 Sn 2.67-2.93
S3 0.9445 0.5000 0.3657  5 Sn 2.62-2.87
Pd1 0.3265 0.0000 0.1198  6 Sn 2.73-2.86
Sn1 0.4443 0.0000 0.3531  1 Pd 2.73, 4 S 2.83-2.87
Sn2 0.8382 0.5000 0.1422  1 S 2.62, 4 Pd 2.85-2.86
Sn3 0.5667 0.5000 0.6226  5 S 2.67-2.96
Sn4 0.1782 0.0000 0.8838  3 S 2.59-2.81, 1 Pd 2.77

Output
density = 5.9 g cm⁻³
final energy = -4.59 eV per atom


# 5
# Ba2ScTaSe6

A geometry-optimized Ba2ScTaSe6 structure (PBE, OQMD).

abc: 7.3263 7.3263 7.3263
angles: 60.00 60.00 60.00
Closest atoms and distances in Å follow each position.
Fractional coordinates of all 10 atoms:
Se1 0.2464 0.7536 0.2464  1 Ta 2.55, 1 Sc 2.63
Se2 0.7536 0.2464 0.2464  1 Ta 2.55, 1 Sc 2.63
Se3 0.2464 0.7536 0.7536  1 Ta 2.55, 1 Sc 2.63
Se4 0.7536 0.7536 0.2464  1 Ta 2.55, 1 Sc 2.63
Se5 0.2464 0.2464 0.7536  1 Ta 2.55, 1 Sc 2.63
Se6 0.7536 0.2464 0.7536  1 Ta 2.55, 1 Sc 2.63
Ba1 0.2500 0.2500 0.2500  12 Se 3.66
Ba2 0.7500 0.7500 0.7500  12 Se 3.66
Sc1 0.5000 0.5000 0.5000  6 Se 2.63
Ta1 0.0000 0.0000 0.0000  6 Se 2.55

Output
density = 5.8 g cm⁻³
final energy = -5.73 eV per atom


# 6
# SmPuI3N

A geometry-optimized SmPuI3N structure (PBE, OQMD).

abc: 10.3338 10.3338 12.6162
angles: 125.48 125.48 22.36
Closest atoms and distances in Å follow each position.
Fractional coordinates of all 12 atoms:
Sm1 0.5696 0.5696 0.9629  2 N 2.35-2.36
Sm2 0.4304 0.4304 0.0371  2 N 2.35-2.36
Pu1 0.1282 0.1282 0.2705  2 N 2.35
Pu2 0.8718 0.8718 0.7295  2 N 2.35
N1 0.4262 0.4262 0.8471  2 Pu 2.35, 2 Sm 2.35-2.36
N2 0.5738 0.5738 0.1529  2 Pu 2.35, 2 Sm 2.35-2.36
I1 0.7825 0.7825 0.8740  2 Sm 3.15, 1 Pu 3.24
I2 0.2175 0.2175 0.1260  2 Sm 3.15, 1 Pu 3.24
I3 0.3311 0.3311 0.4948  3 Pu 3.25-3.34
I4 0.9644 0.9644 0.2570  2 Sm 3.15, 1 Pu 3.22
I5 0.0356 0.0356 0.7430  2 Sm 3.15, 1 Pu 3.22
I6 0.6689 0.6689 0.5052  3 Pu 3.25-3.34

Output
density = 6.3 g cm⁻³
final energy = -6.61 eV per atom